# DyPuBi PBE relaxed
data_DyPuBi
_space_group_name_H-M_alt 'I 4 m m'
_space_group_IT_number 107
_space_group_name_Hall 'I 4 -2'
_cell_length_a 4.114
_cell_length_b 4.114
_cell_length_c 10.267
_cell_angle_alpha 90.00
_cell_angle_beta 90.00
_cell_angle_gamma 90.00
loop_
_atom_site_label
_atom_site_fract_x
_atom_site_fract_y
_atom_site_fract_z
Dy1 0.000 0.000 0.000
Pu1 0.000 0.000 0.686
Bi1 0.000 0.000 0.350
# **Formation energy from the elements**: -77.3 kJ/mol of formula units



# DyPuBi2 PBE relaxed
data_DyPuBi2
_space_group_name_H-M_alt 'P 4/m m m'
_space_group_IT_number 123
_space_group_name_Hall '-P 4 2'
_cell_length_a 3.735
_cell_length_b 3.735
_cell_length_c 8.351
_cell_angle_alpha 90.00
_cell_angle_beta 90.00
_cell_angle_gamma 90.00
loop_
_atom_site_label
_atom_site_fract_x
_atom_site_fract_y
_atom_site_fract_z
Dy1 0.000 0.000 0.000
Pu1 0.000 0.000 0.500
Bi1 0.500 0.500 0.245
# **Energy relative to the lowest polymorph listed for this composition**: 123.8 meV/atom
# **Formation energy from the elements**: -180.6 kJ/mol of formula units



# DyPuBi2 PBE relaxed
data_DyPuBi2
_space_group_name_H-M_alt 'R 3 m'
_space_group_IT_number 160
_space_group_name_Hall 'R 3 -2"'
_cell_length_a 4.4974
_cell_length_b 4.4974
_cell_length_c 22.7138
_cell_angle_alpha 90.00
_cell_angle_beta 90.00
_cell_angle_gamma 120.00
loop_
_atom_site_label
_atom_site_fract_x
_atom_site_fract_y
_atom_site_fract_z
Dy1 0.0000 0.0000 0.0000
Pu1 0.0000 0.0000 0.8294
Bi1 0.0000 0.0000 0.2472
Bi2 0.0000 0.0000 0.4155
# **Energy relative to the lowest polymorph listed for this composition**: 99.3 meV/atom
# **Formation energy from the elements**: -190.0 kJ/mol of formula units



Taking the records one at a time from the top gives N(E_F) values of 2.896, 2.457, 3.484 states/eV per atom.
Taking the records one at a time from the top gives volume values of 29.0, 29.1, 33.2 Å³/atom.
Taking the records one at a time from the top gives electronic total energy values of -7.872, -7.142, -7.166 eV per atom.